1.
## Si2AsS6 (PBE-GGA)

Data for crystalline Si2AsS6 at its relaxed geometry.

The structure in POSCAR format:
```
Si2AsS6
1.0
6.321 -6.408 0.000
6.321 6.408 0.000
-2.414 0.000 5.402
Si As S
4 2 12
direct
0.143 0.300 0.342
0.300 0.143 0.842
0.700 0.857 0.158
0.857 0.700 0.658
0.288 0.712 0.750
0.712 0.288 0.250
0.082 0.681 0.898
0.104 0.246 0.654
0.246 0.104 0.154
0.285 0.505 0.391
0.319 0.918 0.602
0.495 0.715 0.109
0.505 0.285 0.891
0.681 0.082 0.398
0.715 0.495 0.609
0.754 0.896 0.846
0.896 0.754 0.346
0.918 0.319 0.102
```

Spin magnetization: 0.00 μB per cell
DOS at the Fermi energy: 4.0 states/eV per cell
V: 24.31 Å³ per atom
SG: C2/c (15)
Raw formation energy: -309 meV/atom

---

2.
## SrNi3As (PBE-GGA)

Data for crystalline SrNi3As at its relaxed geometry.

The structure in POSCAR format:
```
SrNi3As
1.0
4.512 0.000 0.000
0.000 4.512 0.000
0.000 0.000 4.512
Sr Ni As
1 3 1
direct
0.000 0.000 0.000
0.000 0.500 0.500
0.500 0.000 0.500
0.500 0.500 0.000
0.500 0.500 0.500
```

Spin magnetization: 0.00 μB per cell
DOS at the Fermi energy: 7.8 states/eV per cell
V: 18.37 Å³ per atom
SG: Pm-3m (221)
ΔE_f: -0.09 eV/atom
Energy above the lowest structure with this stoichiometry: 0.0 meV/atom

---

3.
## PuPaAs2N (PBE-GGA)

Data for crystalline PuPaAs2N at its relaxed geometry.

The structure in POSCAR format:
```
PuPaAs2N
1.0
3.968 0.000 0.000
0.000 3.968 0.000
0.000 0.000 13.897
Pu Pa As N
2 2 4 2
direct
0.250 0.250 0.115
0.750 0.750 0.885
0.250 0.250 0.585
0.750 0.750 0.415
0.250 0.250 0.316
0.250 0.250 0.906
0.750 0.750 0.094
0.750 0.750 0.684
0.250 0.750 0.500
0.750 0.250 0.500
```

Spin magnetization: 8.39 μB per cell
DOS at the Fermi energy: 21.6 states/eV per cell
V: 21.88 Å³ per atom
SG: P4/nmm (129)
Raw formation energy: -1092 meV/atom

---

4.
## LiTaP2O (PBE-GGA)

Data for crystalline LiTaP2O at its relaxed geometry.

The structure in POSCAR format:
```
LiTaP2O
1.0
4.957 0.000 0.000
0.000 4.957 0.000
0.000 0.000 3.901
Li Ta P O
1 1 2 1
direct
0.000 0.000 0.000
0.500 0.500 0.500
0.000 0.500 0.500
0.500 0.000 0.500
0.500 0.500 0.000
```

Spin magnetization: 0.46 μB per cell
DOS at the Fermi energy: 5.0 states/eV per cell
V: 19.17 Å³ per atom
SG: P4/mmm (123)
Raw formation energy: -611 meV/atom
Energy above the lowest structure with this stoichiometry: 0.0 meV/atom

---

5.
## CsScAs2Se (PBE-GGA)

Data for crystalline CsScAs2Se at its relaxed geometry.

The structure in POSCAR format:
```
CsScAs2Se
1.0
5.622 0.000 0.000
0.000 5.622 0.000
0.000 0.000 5.407
Cs Sc As Se
1 1 2 1
direct
0.000 0.000 0.000
0.500 0.500 0.500
0.000 0.500 0.000
0.500 0.000 0.000
0.000 0.000 0.500
```

Spin magnetization: 0.00 μB per cell
DOS at the Fermi energy: 4.5 states/eV per cell
V: 34.18 Å³ per atom
SG: P4/mmm (123)
Raw formation energy: 1264 meV/atom
Energy above the lowest structure with this stoichiometry: 1723.4 meV/atom

---

6.
## Li5AlAg6 (PBE-GGA)

Data for crystalline Li5AlAg6 at its relaxed geometry.

The structure in POSCAR format:
```
Li5AlAg6
1.0
3.943 -6.597 0.000
3.943 6.597 0.000
-2.477 0.000 3.671
Li Al Ag
5 1 6
direct
0.000 0.000 0.000
0.167 0.833 0.500
0.336 0.664 0.000
0.664 0.336 0.000
0.833 0.167 0.500
0.500 0.500 0.500
0.083 0.416 0.249
0.250 0.250 0.750
0.416 0.083 0.249
0.584 0.917 0.751
0.750 0.750 0.250
0.917 0.584 0.751
```

Spin magnetization: 0.00 μB per cell
DOS at the Fermi energy: 4.2 states/eV per cell
V: 15.92 Å³ per atom
SG: C2/m (12)
ΔE_f: -0.22 eV/atom

---

7.
## Cs3Rb2TeO6 (PBE-GGA)

Data for crystalline Cs3Rb2TeO6 at its relaxed geometry.

The structure in POSCAR format:
```
Cs3Rb2TeO6
1.0
3.473 -6.017 0.000
3.473 6.017 0.000
-2.221 0.000 6.516
Cs Rb Te O
3 2 1 6
direct
0.000 0.000 0.000
0.332 0.668 0.000
0.668 0.332 0.000
0.167 0.833 0.500
0.833 0.167 0.500
0.500 0.500 0.500
0.209 0.441 0.327
0.328 0.328 0.682
0.441 0.209 0.327
0.559 0.791 0.673
0.672 0.672 0.318
0.791 0.559 0.673
```

Spin magnetization: 1.09 μB per cell
DOS at the Fermi energy: 9.7 states/eV per cell
V: 22.70 Å³ per atom
SG: C2/m (12)
Raw formation energy: -1265 meV/atom

---

8.
## TbPm2Ga (PBE-GGA)

Data for crystalline TbPm2Ga at its relaxed geometry.

The structure in POSCAR format:
```
TbPm2Ga
1.0
1.848 1.067 10.386
-1.848 1.067 10.386
0.000 -2.134 10.386
Tb Pm Ga
1 2 1
direct
0.000 0.000 0.000
0.571 0.571 0.571
0.762 0.762 0.762
0.166 0.166 0.166
```

Spin magnetization: 0.50 μB per cell
DOS at the Fermi energy: 4.8 states/eV per cell
V: 30.71 Å³ per atom
SG: R3m (160)
ΔE_f: -0.16 eV/atom
Energy above the lowest structure with this stoichiometry: 102.4 meV/atom

---

Number 1: total energy -86.08 eV/cell. Number 2: total energy -24.12 eV/cell. Number 3: total energy -93.82 eV/cell. Number 4: total energy -32.60 eV/cell. Number 5: total energy -13.65 eV/cell. Number 6: total energy -33.03 eV/cell. Number 7: total energy -52.57 eV/cell. Number 8: total energy -17.79 eV/cell.